Record 1
Entry from the Alexandria database: crystalline Mn2V2Ga at its relaxed geometry (PBE).

It has space group P1 (No. 1), with a = 4.811 Å, b = 4.883 Å, c = 5.793 Å, α = 72.79°, β = 72.68° and γ = 86.64°. Symmetry generates all atoms from Mn at (0.000, 0.000, 0.000), Mn at (0.004, 0.990, 0.505), Mn at (0.607, 0.184, 0.310), Mn at (0.619, 0.177, 0.790), V at (0.216, 0.348, 0.112), V at (0.221, 0.361, 0.604), V at (0.401, 0.793, 0.694), V at (0.821, 0.582, 0.405), Ga at (0.400, 0.794, 0.203) and Ga at (0.816, 0.577, 0.900).

The value obtained for the energy of formation from the pure elements is -0.146 eV per atom. The calculation puts the excess energy over the best structure of this formula in the dataset at 55 meV/atom.



Record 2
Entry from the Alexandria database: crystalline MnVZnGa at its relaxed geometry (PBE).

It has space group F-43m (No. 216), with a = 5.992 Å, b = 5.992 Å, c = 5.992 Å, α = 90.00°, β = 90.00° and γ = 90.00°. Symmetry generates all atoms from Mn at (0.000, 0.000, 0.000), V at (0.250, 0.250, 0.250), Zn at (0.000, 0.000, 0.500) and Ga at (0.250, 0.250, 0.750).

The value obtained for the energy of formation from the pure elements is -0.006 eV per atom.



Among the records above, which one has the lowest energy of formation from the pure elements? Mn2V2Ga



What is the formula in the second record? MnVZnGa



Number 1 is which compound? Mn2V2Ga



The lowest energy of formation from the pure elements belongs to which entry? Mn2V2Ga